# YEr2ScN4 PBE optimized geometry
data_YEr2ScN4
_cell_length_a 5.8654
_cell_length_b 3.3905
_cell_length_c 5.8657
_cell_angle_alpha 90.00
_cell_angle_beta 109.42
_cell_angle_gamma 90.00
_symmetry_space_group_name_H-M 'P 1 2/m 1'
_symmetry_Int_Tables_number 10
loop_
_symmetry_equiv_pos_as_xyz
'x,y,z'
'-x,-y,-z'
'-x,y,-z'
'x,-y,z'
loop_
_atom_site_label
_atom_site_type_symbol
_atom_site_fract_x
_atom_site_fract_y
_atom_site_fract_z
_atom_site_occupancy
Y1 Y 0.0000 0.0000 0.0000 1
Er1 Er 0.5000 0.0000 0.5000 1
Er2 Er 0.5000 0.5000 0.0000 1
Sc1 Sc 0.0000 0.5000 0.5000 1
N1 N 0.2443 0.0000 0.7420 1
N2 N 0.2488 0.5000 0.2559 1
# formation energy (no corrections)	-1.754	eV per atom
# energy	-8.66	eV per atom
# Fermi-level density of states	0.22	states/eV/f.u.

# TlHgRh2 PBE optimized geometry
data_TlHgRh2
_cell_length_a 3.0298
_cell_length_b 3.0298
_cell_length_c 8.4393
_cell_angle_alpha 90.00
_cell_angle_beta 90.00
_cell_angle_gamma 90.00
_symmetry_space_group_name_H-M 'P 4 m m'
_symmetry_Int_Tables_number 99
loop_
_symmetry_equiv_pos_as_xyz
'x,y,z'
'-y,x,z'
'-x,-y,z'
'y,-x,z'
'-x,y,z'
'y,x,z'
'x,-y,z'
'-y,-x,z'
loop_
_atom_site_label
_atom_site_type_symbol
_atom_site_fract_x
_atom_site_fract_y
_atom_site_fract_z
_atom_site_occupancy
Tl1 Tl 0.0000 0.0000 0.0000 1
Hg1 Hg 0.5000 0.5000 0.3343 1
Rh1 Rh 0.0000 0.0000 0.5652 1
Rh2 Rh 0.5000 0.5000 0.7553 1
# energy	-4.11	eV per atom
# ΔE_f	0.95	eV/f.u.
# Fermi-level density of states	3.27	states/eV/f.u.

# Li2ZnAgAu5 PBE optimized geometry
data_Li2ZnAgAu5
_cell_length_a 6.1449
_cell_length_b 6.1449
_cell_length_c 15.8829
_cell_angle_alpha 90.00
_cell_angle_beta 90.00
_cell_angle_gamma 90.00
_symmetry_space_group_name_H-M 'I 4/m c m'
_symmetry_Int_Tables_number 140
_symmetry_space_group_name_Hall '-I 4 2c'
loop_
_atom_site_label
_atom_site_type_symbol
_atom_site_fract_x
_atom_site_fract_y
_atom_site_fract_z
_atom_site_occupancy
Li1 Li 0.1192 0.3808 0.0000 1
Zn1 Zn 0.0000 0.0000 0.2500 1
Ag1 Ag 0.0000 0.5000 0.2500 1
Au1 Au 0.0000 0.0000 0.0000 1
Au2 Au 0.2328 0.2672 0.3670 1
# energy	-2.83	eV per atom
# ΔE_f	-1.15	eV/f.u.
# Fermi-level density of states	2.90	states/eV/f.u.

Question: Among the records above, which one has the highest energy?
Answer: Li2ZnAgAu5

Question: Which of these has the highest Fermi-level density of states?
Answer: TlHgRh2

Question: Number 2 is which compound?
Answer: TlHgRh2

Question: Which formula does entry 2 have?
Answer: TlHgRh2